No. 1
! LaBeRe2 PBE optimized geometry; values from VASP
&SYSTEM
  ibrav = 0, nat = 4, ntyp = 3
/
ATOMIC_SPECIES
La 138.91 La.upf
Be 9.01 Be.upf
Re 186.21 Re.upf
ATOMIC_POSITIONS crystal
La 0.000 0.000 0.000
Be 0.500 0.500 0.000
Re 0.000 0.500 0.500
Re 0.500 0.000 0.500
CELL_PARAMETERS angstrom
3.209 0.000 0.000
0.000 4.530 0.000
0.000 0.000 4.849
! - Energy of formation: 0.80 eV/atom
! - Crystal system: orthorhombic
! - Energy: -7.58 eV/atom
! - M_tot: 0.0 Bohr magnetons per cell

=====

No. 2
! CrIn2Sb PBE optimized geometry; values from VASP
&SYSTEM
  ibrav = 0, nat = 4, ntyp = 3
/
ATOMIC_SPECIES
Cr 52.00 Cr.upf
In 114.82 In.upf
Sb 121.76 Sb.upf
ATOMIC_POSITIONS crystal
Cr 0.000 0.000 0.000
In 0.000 0.792 0.792
In 0.500 0.468 0.468
Sb 0.500 0.167 0.167
CELL_PARAMETERS angstrom
3.203 0.000 0.000
0.000 2.292 6.668
0.000 -2.292 6.668
! - Crystal system: orthorhombic
! - E_form (uncorrected): 0.90 eV per formula unit
! - Energy: -4.58 eV/atom
! - M_tot: 2.8 Bohr magnetons per cell

=====

No. 3
! SrZr2Sn2 PBE optimized geometry; values from VASP
&SYSTEM
  ibrav = 0, nat = 10, ntyp = 3
/
ATOMIC_SPECIES
Sr 87.62 Sr.upf
Zr 91.22 Zr.upf
Sn 118.71 Sn.upf
ATOMIC_POSITIONS crystal
Sr 0.000 0.000 0.000
Sr 0.500 0.500 0.000
Zr 0.119 0.381 0.000
Zr 0.381 0.881 0.000
Zr 0.619 0.119 0.000
Zr 0.881 0.619 0.000
Sn 0.174 0.674 0.500
Sn 0.326 0.174 0.500
Sn 0.674 0.826 0.500
Sn 0.826 0.326 0.500
CELL_PARAMETERS angstrom
8.907 0.000 0.000
0.000 8.907 0.000
0.000 0.000 3.249
! - Energy of formation: -0.33 eV/atom
! - Crystal system: tetragonal
! - Energy: -5.68 eV/atom
! - M_tot: 0.0 Bohr magnetons per cell

=====

No. 4
! Er5GaSi2 PBE optimized geometry; values from VASP
&SYSTEM
  ibrav = 0, nat = 16, ntyp = 3
/
ATOMIC_SPECIES
Er 167.26 Er.upf
Ga 69.72 Ga.upf
Si 28.09 Si.upf
ATOMIC_POSITIONS crystal
Er 0.000 0.000 0.000
Er 0.028 0.528 0.842
Er 0.186 0.028 0.500
Er 0.314 0.814 0.842
Er 0.472 0.314 0.500
Er 0.500 0.500 0.000
Er 0.528 0.686 0.500
Er 0.686 0.186 0.158
Er 0.814 0.972 0.500
Er 0.972 0.472 0.158
Ga 0.250 0.250 0.000
Ga 0.750 0.750 0.000
Si 0.125 0.375 0.500
Si 0.375 0.875 0.249
Si 0.625 0.125 0.751
Si 0.875 0.625 0.500
CELL_PARAMETERS angstrom
-3.748 3.748 6.828
3.748 -3.748 6.828
3.748 3.748 -6.828
! - Crystal system: tetragonal
! - E_form (uncorrected): -4.99 eV per formula unit
! - Energy: -5.21 eV/atom
! - M_tot: 0.0 Bohr magnetons per cell

=====

No. 5
! PrDyCl6 PBE optimized geometry; values from VASP
&SYSTEM
  ibrav = 0, nat = 8, ntyp = 3
/
ATOMIC_SPECIES
Pr 140.91 Pr.upf
Dy 162.50 Dy.upf
Cl 35.45 Cl.upf
ATOMIC_POSITIONS crystal
Pr 0.000 0.000 0.000
Dy 0.500 0.500 0.500
Cl 0.110 0.403 0.742
Cl 0.258 0.890 0.597
Cl 0.403 0.742 0.110
Cl 0.597 0.258 0.890
Cl 0.742 0.110 0.403
Cl 0.890 0.597 0.258
CELL_PARAMETERS angstrom
3.434 1.983 6.267
-3.434 1.983 6.267
0.000 -3.965 6.267
! - Crystal system: trigonal
! - E_form (uncorrected): -17.96 eV per formula unit
! - Energy: -4.80 eV/atom
! - M_tot: 0.0 Bohr magnetons per cell

=====

No. 6
! Ba2CaTa PBE optimized geometry; values from VASP
&SYSTEM
  ibrav = 0, nat = 4, ntyp = 3
/
ATOMIC_SPECIES
Ba 137.33 Ba.upf
Ca 40.08 Ca.upf
Ta 180.95 Ta.upf
ATOMIC_POSITIONS crystal
Ba 0.250 0.250 0.250
Ba 0.750 0.750 0.750
Ca 0.000 0.000 0.000
Ta 0.500 0.500 0.500
CELL_PARAMETERS angstrom
0.000 4.257 4.257
4.257 0.000 4.257
4.257 4.257 0.000
! - Energy of formation: 0.93 eV/atom
! - Crystal system: cubic
! - Energy: -3.49 eV/atom
! - M_tot: 3.0 Bohr magnetons per cell

=====

Which of these has the highest M_tot?
Ba2CaTa

=====

Among the records above, which one has the highest M_tot?
Ba2CaTa

=====

M_tot of number 4 (Er5GaSi2)?
0.0 Bohr magnetons per cell